1.
Below is a relaxed structure of Sc2AlZn, with properties calculated at the PBE level.

Computed properties:
Symmetry   I-42d, No. 122
E_form   0.04 eV per atom
Final energy   -4.38 eV/atom

a b c (Å): 6.0894 6.0894 6.0894
angles (deg): 104.57 104.57 119.79
Fractional positions:
1 Sc 0.1074 0.6250 0.9824
2 Sc 0.3750 0.3574 0.4824
3 Sc 0.6426 0.1250 0.0176
4 Sc 0.8750 0.8926 0.5176
5 Al 0.2500 0.7500 0.5000
6 Al 0.5000 0.5000 0.0000
7 Zn 0.0000 0.0000 0.0000
8 Zn 0.7500 0.2500 0.5000

2.
Below is a relaxed structure of ScAlZn, with properties calculated at the PBE level.

Computed properties:
Symmetry   Imma, No. 74
E_form   -0.43 eV per atom
Final energy   -4.21 eV/atom

a b c (Å): 5.2958 5.2958 5.2958
angles (deg): 120.56 119.19 90.22
Fractional positions:
1 Sc 0.3761 0.1261 0.2500
2 Sc 0.6239 0.8739 0.7500
3 Al 0.0000 0.5000 0.5000
4 Al 0.5000 0.5000 0.0000
5 Zn 0.0000 0.0000 0.5000
6 Zn 0.0000 0.5000 0.0000

3.
Below is a relaxed structure of Sc3Al2Zn9, with properties calculated at the PBE level.

Computed properties:
Symmetry   Immm, No. 71
E_form   -0.29 eV per atom
Final energy   -3.00 eV/atom

a b c (Å): 7.9143 7.9143 7.9143
angles (deg): 149.48 108.05 80.14
Fractional positions:
1 Sc 0.0000 0.0000 0.0000
2 Sc 0.2932 0.2932 0.0000
3 Sc 0.7068 0.7068 0.0000
4 Al 0.3161 0.5000 0.8161
5 Al 0.6839 0.5000 0.1839
6 Zn 0.0244 0.6556 0.3688
7 Zn 0.1379 0.8576 0.2803
8 Zn 0.2868 0.6556 0.6312
9 Zn 0.4226 0.1424 0.2803
10 Zn 0.5000 0.0000 0.5000
11 Zn 0.5774 0.8576 0.7197
12 Zn 0.7132 0.3444 0.3688
13 Zn 0.8621 0.1424 0.7197
14 Zn 0.9756 0.3444 0.6312

4.
Below is a relaxed structure of Sc3Al3Zn2, with properties calculated at the PBE level.

Computed properties:
Symmetry   Cmcm, No. 63
E_form   -0.40 eV per atom
Final energy   -4.49 eV/atom

a b c (Å): 5.4995 5.4995 14.0155
angles (deg): 90.00 90.00 134.50
Fractional positions:
1 Sc 0.0812 0.9188 0.6108
2 Sc 0.0812 0.9188 0.8892
3 Sc 0.3431 0.6569 0.7500
4 Sc 0.6569 0.3431 0.2500
5 Sc 0.9188 0.0812 0.1108
6 Sc 0.9188 0.0812 0.3892
7 Al 0.3699 0.6301 0.2500
8 Al 0.3854 0.6146 0.5427
9 Al 0.3854 0.6146 0.9573
10 Al 0.6146 0.3854 0.0427
11 Al 0.6146 0.3854 0.4573
12 Al 0.6301 0.3699 0.7500
13 Zn 0.2128 0.7872 0.1058
14 Zn 0.2128 0.7872 0.3942
15 Zn 0.7872 0.2128 0.6058
16 Zn 0.7872 0.2128 0.8942

5.
Below is a relaxed structure of Sc2Al9Zn, with properties calculated at the PBE level.

Computed properties:
Symmetry   P4/mmm, No. 123
E_form   -0.26 eV per atom
Final energy   -4.23 eV/atom

a b c (Å): 4.0868 4.0868 12.2843
angles (deg): 90.00 90.00 90.00
Fractional positions:
1 Sc 0.0000 0.0000 0.1670
2 Sc 0.0000 0.0000 0.8330
3 Al 0.0000 0.5000 0.0000
4 Al 0.0000 0.5000 0.3397
5 Al 0.0000 0.5000 0.6603
6 Al 0.5000 0.0000 0.0000
7 Al 0.5000 0.0000 0.3397
8 Al 0.5000 0.0000 0.6603
9 Al 0.5000 0.5000 0.1694
10 Al 0.5000 0.5000 0.5000
11 Al 0.5000 0.5000 0.8306
12 Zn 0.0000 0.0000 0.5000

6.
Below is a relaxed structure of ZrScAlZn, with properties calculated at the PBE level.

Computed properties:
Symmetry   P4mm, No. 99
E_form   -0.39 eV per atom
Final energy   -5.36 eV/atom

a b c (Å): 3.3053 3.3053 6.9389
angles (deg): 90.00 90.00 90.00
Fractional positions:
1 Zr 0.0000 0.0000 0.0000
2 Sc 0.0000 0.0000 0.5149
3 Al 0.5000 0.5000 0.2589
4 Zn 0.5000 0.5000 0.7493

7.
Below is a relaxed structure of Zr2Sc3Al, with properties calculated at the PBE level.

Computed properties:
Symmetry   Cmmm, No. 65
E_form   -0.16 eV per atom
Final energy   -6.80 eV/atom

a b c (Å): 7.0513 7.0513 4.5450
angles (deg): 90.00 90.00 143.87
Fractional positions:
1 Zr 0.1650 0.8350 0.0000
2 Zr 0.8350 0.1650 0.0000
3 Sc 0.0000 0.0000 0.5000
4 Sc 0.3317 0.6683 0.5000
5 Sc 0.6683 0.3317 0.5000
6 Al 0.5000 0.5000 0.0000

8.
Below is a relaxed structure of Zr3ScAl, with properties calculated at the PBE level.

Computed properties:
Symmetry   C2/m, No. 12
E_form   -0.12 eV per atom
Final energy   -7.26 eV/atom

a b c (Å): 8.2637 8.2637 5.5919
angles (deg): 96.77 96.77 35.40
Fractional positions:
1 Zr 0.0415 0.0415 0.2809
2 Zr 0.1560 0.1560 0.8091
3 Zr 0.3723 0.3723 0.8461
4 Zr 0.6277 0.6277 0.1539
5 Zr 0.8440 0.8440 0.1909
6 Zr 0.9585 0.9585 0.7191
7 Sc 0.2465 0.2465 0.3263
8 Sc 0.7535 0.7535 0.6737
9 Al 0.4357 0.4357 0.3447
10 Al 0.5643 0.5643 0.6553